LiMoSe2N | GGA-PBE | relaxed

Geometry as CIF:
```
data_LiMoSe2N
_cell_length_a 4.7058
_cell_length_b 4.7058
_cell_length_c 3.5450
_cell_angle_alpha 90.00
_cell_angle_beta 90.00
_cell_angle_gamma 90.00
_space_group_name_H-M_alt 'P 4/m m m'
_space_group_IT_number 123
_space_group_name_Hall '-P 4 2'
loop_
_atom_site_label
_atom_site_fract_x
_atom_site_fract_y
_atom_site_fract_z
Li1 0.0000 0.0000 0.0000
Mo1 0.5000 0.5000 0.5000
Se1 0.0000 0.5000 0.0000
N1 0.0000 0.0000 0.5000
```

Properties
- ΔE to the lowest computed polymorph: 1139 meV per atom
- Magnetization: 1.33 Bohr magnetons per cell
- Fermi-level density of states: 3.7 states/eV/cell
- Energy relative to the elements, uncorrected: 5.049 eV per formula unit